VASP calculation (PBE-GGA) on LaAl2Cd after structural relaxation.

Summary:
Crystal system ... tetragonal
Symmetry ... P4/mmm
V ... 23.76 Å³/atom
Total energy ... -3.581 eV/atom
Total moment ... 0.00 μB per formula unit

```
data_LaAl2Cd
_chemical_formula_sum 'La1 Al2 Cd1'
_cell_length_a 4.602
_cell_length_b 4.602
_cell_length_c 4.489
_cell_angle_alpha 90.00
_cell_angle_beta 90.00
_cell_angle_gamma 90.00
_symmetry_space_group_name_H-M 'P 1'
_symmetry_Int_Tables_number 1
loop_
_symmetry_equiv_pos_as_xyz
'x,y,z'
loop_
_atom_site_label
_atom_site_type_symbol
_atom_site_fract_x
_atom_site_fract_y
_atom_site_fract_z
Al1 Al 0.500 0.500 0.000
La1 La 0.000 0.500 0.500
Cd1 Cd 0.500 0.000 0.500
Al2 Al 0.000 0.000 0.000
```

***

VASP calculation (PBE-GGA) on K2AlNi after structural relaxation.

Summary:
Crystal system ... orthorhombic
Symmetry ... Pmmm
V ... 26.32 Å³/atom
Total energy ... -2.214 eV/atom
Total moment ... 0.00 μB per formula unit

```
data_K2AlNi
_chemical_formula_sum 'K2 Al1 Ni1'
_cell_length_a 4.498
_cell_length_b 4.325
_cell_length_c 6.927
_cell_angle_alpha 51.37
_cell_angle_beta 90.00
_cell_angle_gamma 90.00
_symmetry_space_group_name_H-M 'P 1'
_symmetry_Int_Tables_number 1
loop_
_symmetry_equiv_pos_as_xyz
'x,y,z'
loop_
_atom_site_label
_atom_site_type_symbol
_atom_site_fract_x
_atom_site_fract_y
_atom_site_fract_z
K1 K 0.500 0.500 0.000
Ni1 Ni 0.500 0.500 0.500
Al1 Al 0.000 0.000 0.500
K2 K 0.000 0.000 0.000
```

***

VASP calculation (PBE-GGA) on PmTc2C2 after structural relaxation.

Summary:
Crystal system ... monoclinic
Symmetry ... C2/c
V ... 14.26 Å³/atom
Total energy ... -8.923 eV/atom
Total moment ... 0.00 μB per formula unit

```
data_PmTc2C2
_chemical_formula_sum 'Pm2 Tc4 C4'
_cell_length_a 5.581
_cell_length_b 5.581
_cell_length_c 5.789
_cell_angle_alpha 109.96
_cell_angle_beta 109.96
_cell_angle_gamma 106.09
_symmetry_space_group_name_H-M 'P 1'
_symmetry_Int_Tables_number 1
loop_
_symmetry_equiv_pos_as_xyz
'x,y,z'
loop_
_atom_site_label
_atom_site_type_symbol
_atom_site_fract_x
_atom_site_fract_y
_atom_site_fract_z
C1 C 0.814 0.186 0.250
Tc1 Tc 0.766 0.519 0.530
Tc2 Tc 0.481 0.234 0.970
Pm1 Pm 0.125 0.875 0.250
Tc3 Tc 0.519 0.766 0.030
Tc4 Tc 0.234 0.481 0.470
C2 C 0.566 0.434 0.750
Pm2 Pm 0.875 0.125 0.750
C3 C 0.186 0.814 0.750
C4 C 0.434 0.566 0.250
```

***

VASP calculation (PBE-GGA) on SrMnAsBr2 after structural relaxation.

Summary:
E_form (uncorrected) ... -0.502 eV per atom
Crystal system ... tetragonal
Symmetry ... P4/mmm
V ... 24.96 Å³/atom
Total moment ... 0.00 μB per formula unit

```
data_SrMnAsBr2
_chemical_formula_sum 'Sr1 Mn1 As1 Br2'
_cell_length_a 5.210
_cell_length_b 5.210
_cell_length_c 4.598
_cell_angle_alpha 90.00
_cell_angle_beta 90.00
_cell_angle_gamma 90.00
_symmetry_space_group_name_H-M 'P 1'
_symmetry_Int_Tables_number 1
loop_
_symmetry_equiv_pos_as_xyz
'x,y,z'
loop_
_atom_site_label
_atom_site_type_symbol
_atom_site_fract_x
_atom_site_fract_y
_atom_site_fract_z
Sr1 Sr 0.500 0.500 0.500
As1 As 0.000 0.000 0.500
Mn1 Mn 0.000 0.000 0.000
Br1 Br 0.500 0.000 0.000
Br2 Br 0.000 0.500 0.000
```

***

VASP calculation (PBE-GGA) on Rb2VSnS4 after structural relaxation.

Summary:
E_form (uncorrected) ... -0.832 eV per atom
Crystal system ... orthorhombic
Symmetry ... Fddd
V ... 34.16 Å³/atom
Total moment ... 1.00 μB per formula unit

```
data_Rb2VSnS4
_chemical_formula_sum 'Rb4 V2 Sn2 S8'
_cell_length_a 6.791
_cell_length_b 7.619
_cell_length_c 12.282
_cell_angle_alpha 82.92
_cell_angle_beta 73.95
_cell_angle_gamma 63.53
_symmetry_space_group_name_H-M 'P 1'
_symmetry_Int_Tables_number 1
loop_
_symmetry_equiv_pos_as_xyz
'x,y,z'
loop_
_atom_site_label
_atom_site_type_symbol
_atom_site_fract_x
_atom_site_fract_y
_atom_site_fract_z
S1 S 0.332 0.816 0.103
V1 V 0.250 0.500 0.500
Sn1 Sn 0.750 0.500 0.500
S2 S 0.418 0.684 0.397
S3 S 0.185 0.316 0.397
S4 S 0.565 0.184 0.103
Rb1 Rb 0.932 0.500 0.136
V2 V 0.500 0.000 0.000
S5 S 0.251 0.184 0.897
Rb2 Rb 0.568 0.500 0.864
Sn2 Sn 0.000 0.000 0.000
Rb3 Rb 0.182 0.000 0.636
S6 S 0.499 0.316 0.603
Rb4 Rb 0.818 0.000 0.364
S7 S 0.899 0.684 0.603
S8 S 0.851 0.816 0.897
```

***

VASP calculation (PBE-GGA) on RbYSnCl6 after structural relaxation.

Summary:
E_form (uncorrected) ... -1.826 eV per atom
Crystal system ... trigonal
Symmetry ... P312
V ... 36.28 Å³/atom
Total moment ... 0.00 μB per formula unit

```
data_RbYSnCl6
_chemical_formula_sum 'Rb1 Y1 Sn1 Cl6'
_cell_length_a 7.281
_cell_length_b 7.281
_cell_length_c 7.112
_cell_angle_alpha 90.00
_cell_angle_beta 90.00
_cell_angle_gamma 60.00
_symmetry_space_group_name_H-M 'P 1'
_symmetry_Int_Tables_number 1
loop_
_symmetry_equiv_pos_as_xyz
'x,y,z'
loop_
_atom_site_label
_atom_site_type_symbol
_atom_site_fract_x
_atom_site_fract_y
_atom_site_fract_z
Y1 Y 0.333 0.333 0.500
Cl1 Cl 0.021 0.619 0.714
Cl2 Cl 0.619 0.021 0.285
Cl3 Cl 0.619 0.360 0.715
Rb1 Rb 0.000 0.000 0.000
Cl4 Cl 0.360 0.619 0.285
Cl5 Cl 0.021 0.360 0.285
Cl6 Cl 0.360 0.021 0.715
Sn1 Sn 0.667 0.667 0.500
```

***

VASP calculation (PBE-GGA) on Ac2DyRu3O12 after structural relaxation.

Summary:
E_form (uncorrected) ... -1.867 eV per atom
Crystal system ... trigonal
Symmetry ... R-3m
V ... 13.38 Å³/atom
Total moment ... 6.18 μB per formula unit

```
data_Ac2DyRu3O12
_chemical_formula_sum 'Ac2 Dy1 Ru3 O12'
_cell_length_a 6.764
_cell_length_b 6.764
_cell_length_c 6.764
_cell_angle_alpha 64.58
_cell_angle_beta 64.58
_cell_angle_gamma 64.58
_symmetry_space_group_name_H-M 'P 1'
_symmetry_Int_Tables_number 1
loop_
_symmetry_equiv_pos_as_xyz
'x,y,z'
loop_
_atom_site_label
_atom_site_type_symbol
_atom_site_fract_x
_atom_site_fract_y
_atom_site_fract_z
O1 O 0.729 0.128 0.729
O2 O 0.567 0.145 0.145
O3 O 0.855 0.855 0.433
O4 O 0.145 0.567 0.145
O5 O 0.271 0.271 0.872
O6 O 0.433 0.855 0.855
O7 O 0.729 0.729 0.128
Dy1 Dy 0.000 0.000 0.000
O8 O 0.145 0.145 0.567
Ru1 Ru 0.500 0.000 0.000
Ac1 Ac 0.616 0.616 0.616
Ru2 Ru 0.000 0.500 0.000
O9 O 0.271 0.872 0.271
Ru3 Ru 0.000 0.000 0.500
O10 O 0.128 0.729 0.729
O11 O 0.872 0.271 0.271
Ac2 Ac 0.384 0.384 0.384
O12 O 0.855 0.433 0.855
```

***

VASP calculation (PBE-GGA) on TlCrSbTe2 after structural relaxation.

Summary:
E_form (uncorrected) ... 0.178 eV per atom
Crystal system ... tetragonal
Symmetry ... P4/mmm
V ... 30.25 Å³/atom
Total moment ... 2.58 μB per formula unit

```
data_TlCrSbTe2
_chemical_formula_sum 'Tl1 Cr1 Sb1 Te2'
_cell_length_a 5.443
_cell_length_b 5.443
_cell_length_c 5.106
_cell_angle_alpha 90.00
_cell_angle_beta 90.00
_cell_angle_gamma 90.00
_symmetry_space_group_name_H-M 'P 1'
_symmetry_Int_Tables_number 1
loop_
_symmetry_equiv_pos_as_xyz
'x,y,z'
loop_
_atom_site_label
_atom_site_type_symbol
_atom_site_fract_x
_atom_site_fract_y
_atom_site_fract_z
Tl1 Tl 0.500 0.500 0.500
Te1 Te 0.500 0.000 0.000
Sb1 Sb 0.000 0.000 0.500
Te2 Te 0.000 0.500 0.000
Cr1 Cr 0.000 0.000 0.000
```

***

VASP calculation (PBE-GGA) on ScTlHg2 after structural relaxation.

Summary:
Crystal system ... orthorhombic
Symmetry ... Immm
V ... 24.60 Å³/atom
Total energy ... -2.463 eV/atom
Total moment ... 0.00 μB per formula unit

```
data_ScTlHg2
_chemical_formula_sum 'Sc1 Tl1 Hg2'
_cell_length_a 6.279
_cell_length_b 6.279
_cell_length_c 6.279
_cell_angle_alpha 148.06
_cell_angle_beta 130.71
_cell_angle_gamma 59.94
_symmetry_space_group_name_H-M 'P 1'
_symmetry_Int_Tables_number 1
loop_
_symmetry_equiv_pos_as_xyz
'x,y,z'
loop_
_atom_site_label
_atom_site_type_symbol
_atom_site_fract_x
_atom_site_fract_y
_atom_site_fract_z
Sc1 Sc 0.750 0.250 0.500
Hg1 Hg 0.974 0.974 0.000
Hg2 Hg 0.526 0.526 0.000
Tl1 Tl 0.250 0.750 0.500
```

***

VASP calculation (PBE-GGA) on ZrH3 after structural relaxation.

Summary:
Crystal system ... cubic
Symmetry ... Pm-3m
V ... 7.58 Å³/atom
Total energy ... -4.922 eV/atom
Total moment ... 0.31 μB per formula unit

```
data_ZrH3
_chemical_formula_sum 'Zr1 H3'
_cell_length_a 3.118
_cell_length_b 3.118
_cell_length_c 3.118
_cell_angle_alpha 90.00
_cell_angle_beta 90.00
_cell_angle_gamma 90.00
_symmetry_space_group_name_H-M 'P 1'
_symmetry_Int_Tables_number 1
loop_
_symmetry_equiv_pos_as_xyz
'x,y,z'
loop_
_atom_site_label
_atom_site_type_symbol
_atom_site_fract_x
_atom_site_fract_y
_atom_site_fract_z
Zr1 Zr 0.000 0.000 0.083
H1 H 0.000 0.500 0.583
H2 H 0.500 0.500 0.083
H3 H 0.500 0.000 0.583
```

***

VASP calculation (PBE-GGA) on ZrAlBr2 after structural relaxation.

Summary:
E_form (uncorrected) ... 0.023 eV per atom
Crystal system ... tetragonal
Symmetry ... I-4m2
V ... 22.85 Å³/atom
Total moment ... 0.72 μB per formula unit

```
data_ZrAlBr2
_chemical_formula_sum 'Zr1 Al1 Br2'
_cell_length_a 6.159
_cell_length_b 6.159
_cell_length_c 6.159
_cell_angle_alpha 141.10
_cell_angle_beta 141.10
_cell_angle_gamma 56.18
_symmetry_space_group_name_H-M 'P 1'
_symmetry_Int_Tables_number 1
loop_
_symmetry_equiv_pos_as_xyz
'x,y,z'
loop_
_atom_site_label
_atom_site_type_symbol
_atom_site_fract_x
_atom_site_fract_y
_atom_site_fract_z
Br1 Br 0.000 0.000 0.000
Br2 Br 0.250 0.750 0.500
Zr1 Zr 0.500 0.500 0.000
Al1 Al 0.750 0.250 0.500
```

***

VASP calculation (PBE-GGA) on ZnCd2Te after structural relaxation.

Summary:
E_form (uncorrected) ... 0.106 eV per atom
Crystal system ... orthorhombic
Symmetry ... Cmmm
V ... 23.81 Å³/atom
Total moment ... 0.00 μB per formula unit

```
data_ZnCd2Te
_chemical_formula_sum 'Zn1 Cd2 Te1'
_cell_length_a 3.243
_cell_length_b 3.243
_cell_length_c 9.102
_cell_angle_alpha 90.00
_cell_angle_beta 90.00
_cell_angle_gamma 95.90
_symmetry_space_group_name_H-M 'P 1'
_symmetry_Int_Tables_number 1
loop_
_symmetry_equiv_pos_as_xyz
'x,y,z'
loop_
_atom_site_label
_atom_site_type_symbol
_atom_site_fract_x
_atom_site_fract_y
_atom_site_fract_z
Cd1 Cd 0.000 0.000 0.546
Te1 Te 0.500 0.500 0.250
Zn1 Zn 0.500 0.500 0.750
Cd2 Cd 0.000 0.000 0.954
```

***

VASP calculation (PBE-GGA) on SrIn2Hg after structural relaxation.

Summary:
Crystal system ... orthorhombic
Symmetry ... Cmmm
V ... 29.22 Å³/atom
Total energy ... -2.135 eV/atom
Total moment ... 0.00 μB per formula unit

```
data_SrIn2Hg
_chemical_formula_sum 'Sr1 In2 Hg1'
_cell_length_a 3.493
_cell_length_b 6.231
_cell_length_c 6.231
_cell_angle_alpha 120.50
_cell_angle_beta 90.00
_cell_angle_gamma 90.00
_symmetry_space_group_name_H-M 'P 1'
_symmetry_Int_Tables_number 1
loop_
_symmetry_equiv_pos_as_xyz
'x,y,z'
loop_
_atom_site_label
_atom_site_type_symbol
_atom_site_fract_x
_atom_site_fract_y
_atom_site_fract_z
Sr1 Sr 0.000 0.945 0.055
In1 In 0.500 0.945 0.555
Hg1 Hg 0.500 0.445 0.555
In2 In 0.500 0.445 0.055
```

***

VASP calculation (PBE-GGA) on Ti2CuNiH after structural relaxation.

Summary:
Crystal system ... tetragonal
Symmetry ... P4/mmm
V ... 11.58 Å³/atom
Total energy ... -6.039 eV/atom
Total moment ... 0.87 μB per formula unit

```
data_Ti2CuNiH
_chemical_formula_sum 'Ti2 Cu1 Ni1 H1'
_cell_length_a 4.020
_cell_length_b 4.020
_cell_length_c 3.584
_cell_angle_alpha 90.00
_cell_angle_beta 90.00
_cell_angle_gamma 90.00
_symmetry_space_group_name_H-M 'P 1'
_symmetry_Int_Tables_number 1
loop_
_symmetry_equiv_pos_as_xyz
'x,y,z'
loop_
_atom_site_label
_atom_site_type_symbol
_atom_site_fract_x
_atom_site_fract_y
_atom_site_fract_z
Ti1 Ti 0.500 0.000 0.000
Ti2 Ti 0.000 0.500 0.000
H1 H 0.000 0.000 0.000
Ni1 Ni 0.000 0.000 0.500
Cu1 Cu 0.500 0.500 0.500
```